The following is a DFT calculation (GGA-PBE) of a relaxed structure of Cd2AsCl.

```
data_Cd2AsCl
_chemical_formula_sum 'Cd2 As1 Cl1'
_space_group_name_H-M_alt 'P 4/m m m'
_space_group_IT_number 123
_space_group_name_Hall '-P 4 2'
_cell_length_a 5.2265
_cell_length_b 5.2265
_cell_length_c 3.2110
_cell_angle_alpha 90.00
_cell_angle_beta 90.00
_cell_angle_gamma 90.00
loop_
_atom_site_label
_atom_site_fract_x
_atom_site_fract_y
_atom_site_fract_z
Cd1 0.0000 0.5000 0.0000
As1 0.0000 0.0000 0.5000
Cl1 0.5000 0.5000 0.5000
```

Output
**Formation energy (no corrections)**: -0.14 eV/atom
**Relative energy among the computed polymorphs**: 311.8 meV/atom